Here is an optimized crystal structure of Ce5Pu2Tl from Alexandria. Energies are from PBE-GGA.

The formation energy is -1.1 kcal/mol of atoms. The crystal system is monoclinic. For the density of states at the Fermi level, the calculation gives 17.9 states/eV/f.u. The calculated volume comes out at 26.03 A^3/atom. For the electronic total energy, the calculation gives -61.1 eV per formula unit.

Lattice parameters (Å, degrees): 6.631 6.631 6.679 120.24 120.24 60.92
Positions (direct):
Ce 0.000 0.000 0.000
Ce 0.000 0.500 0.998
Ce 0.000 0.501 0.498
Ce 0.500 0.000 0.998
Ce 0.501 0.000 0.498
Pu 0.000 0.000 0.499
Pu 0.501 0.501 0.499
Tl 0.500 0.500 0.998

=====

Here is an optimized crystal structure of CePuTl2 from Alexandria. Energies are from PBE-GGA.

The formation energy is -3.2 kcal/mol of atoms. As for the energy above the most stable polymorph in this dataset: 0.015 eV/atom. The crystal system is orthorhombic. For the density of states at the Fermi level, the calculation gives 12.4 states/eV/f.u. The calculated volume comes out at 27.64 A^3/atom. For the electronic total energy, the calculation gives -25.6 eV per formula unit.

Lattice parameters (Å, degrees): 5.887 5.887 3.383 90.00 90.00 109.43
Positions (direct):
Ce 0.000 0.000 0.000
Pu 0.500 0.500 0.000
Tl 0.000 0.500 0.500
Tl 0.500 0.000 0.500